Entry 1:
# UTiFeTc

UTiFeTc after structural relaxation (GGA-PBE, Alexandria).

Cell lengths 4.5057, 4.5057, 4.5057 Å; angles 60.00, 60.00, 60.00 degrees
Fractional positions:
Ti 0.2500 0.2500 0.2500
U 0.7500 0.7500 0.7500
Fe 0.5000 0.5000 0.5000
Tc 0.0000 0.0000 0.0000

Values from the calculation:
Crystal system: cubic
Uncorrected energy (eV for the cell shown): -38.3
Theoretical density (g cm⁻³): 11.3
Magnetic moment (μB/f.u.): 1.6
Energy of formation from the pure elements (eV/atom): -0.08



Entry 2:
# TbScPt

TbScPt after structural relaxation (GGA-PBE, Alexandria).

Cell lengths 3.4391, 3.4391, 6.3565 Å; angles 105.70, 105.70, 90.00 degrees
Fractional positions:
Tb 0.5951 0.5951 0.1902
Pt 0.9358 0.9358 0.8716
Sc 0.3191 0.3191 0.6382

Values from the calculation:
Energy above the most stable polymorph in this dataset (meV/atom): 177
Crystal system: tetragonal
Uncorrected energy (eV for the cell shown): -19.4
Theoretical density (g cm⁻³): 9.5
Magnetic moment (μB/f.u.): 0.0
Energy of formation from the pure elements (eV/atom): -0.78